First-principles (GGA+U) data for a relaxed structure of Mg2CdMoO6, as listed in Alexandria via LeMat-Bulk.

Properties
For the final energy, the calculation gives -180.925 eV for the cell shown. As for the crystal system: trigonal.

Cell lengths 5.3312, 5.3312, 14.4178 Å; angles 90.00, 90.00, 120.00 degrees
Space group R3 (No. 146, hexagonal axes)
Asymmetric unit:
1 Mg 0.0000 0.0000 0.0000 [3 per cell]
2 Mg 0.0000 0.0000 0.4995 [3 per cell]
3 Cd 0.0000 0.0000 0.7770 [3 per cell]
4 Mo 0.0000 0.0000 0.2973 [3 per cell]
5 O 0.0235 0.3445 0.9046 [9 per cell]
6 O 0.0715 0.7007 0.0600 [9 per cell]

First-principles (GGA+U) data for a relaxed structure of MgCdMo2O8, as listed in Alexandria via LeMat-Bulk.

Properties
For the final energy, the calculation gives -152.638 eV for the cell shown. As for the crystal system: tetragonal.

Cell lengths 7.060, 7.060, 6.785 Å; angles 90.00, 90.00, 90.00 degrees
Space group I-4m2 (No. 119)
Asymmetric unit:
1 Mg 0.000 0.000 0.000 [2 per cell]
2 Cd 0.000 0.500 0.750 [2 per cell]
3 Mo 0.000 0.000 0.500 [2 per cell]
4 Mo 0.000 0.500 0.250 [2 per cell]
5 O 0.000 0.198 0.665 [8 per cell]
6 O 0.000 0.292 0.095 [8 per cell]

Repeat the second record exactly.
First-principles (GGA+U) data for a relaxed structure of MgCdMo2O8, as listed in Alexandria via LeMat-Bulk.

Properties
For the final energy, the calculation gives -152.638 eV for the cell shown. As for the crystal system: tetragonal.

Cell lengths 7.060, 7.060, 6.785 Å; angles 90.00, 90.00, 90.00 degrees
Space group I-4m2 (No. 119)
Asymmetric unit:
1 Mg 0.000 0.000 0.000 [2 per cell]
2 Cd 0.000 0.500 0.750 [2 per cell]
3 Mo 0.000 0.000 0.500 [2 per cell]
4 Mo 0.000 0.500 0.250 [2 per cell]
5 O 0.000 0.198 0.665 [8 per cell]
6 O 0.000 0.292 0.095 [8 per cell]

Which of these has the lowest final energy? Mg2CdMoO6

What is the final energy in the first record? -180.925 eV for the cell shown

The highest final energy belongs to which entry? MgCdMo2O8